1.
LiAlZn | PBE-GGA | optimized geometry

Cell: 4.228 4.228 4.228 Å, 60.00 60.00 60.00°
Sites, in units of the cell vectors:
Al (0.000, 0.000, 0.000)
Li (0.500, 0.500, 0.500)
Zn (0.750, 0.750, 0.750)

Summary:
SG = F-43m (216)
E_tot = -2.277 eV per atom
Excess energy over the best structure of this formula in the dataset = 0.0 kJ per mole of atoms

2.
Lu2BPd | PBE-GGA | optimized geometry

Cell: 4.596 4.596 4.596 Å, 60.00 60.00 60.00°
Last column: magnetic moment on the atom in μB.
Sites, in units of the cell vectors:
B (0.500, 0.500, 0.500)  0.03
Lu (0.000, 0.000, 0.000)  0.27
Lu (0.750, 0.750, 0.750)  0.35
Pd (0.250, 0.250, 0.250)  0.08

Summary:
SG = F-43m (216)
M_tot = 0.78 μB per cell
E_tot = -4.949 eV per atom

3.
BaDyGaSe3 | PBE-GGA | optimized geometry

Cell: 7.524 7.524 11.764 Å, 90.00 90.00 147.48°
Sites, in units of the cell vectors:
Ba (0.792, 0.208, 0.250)
Ba (0.208, 0.792, 0.750)
Dy (0.500, 0.500, 0.000)
Dy (0.500, 0.500, 0.500)
Ga (0.102, 0.898, 0.250)
Ga (0.898, 0.102, 0.750)
Se (0.134, 0.866, 0.010)
Se (0.481, 0.519, 0.250)
Se (0.134, 0.866, 0.490)
Se (0.866, 0.134, 0.510)
Se (0.519, 0.481, 0.750)
Se (0.866, 0.134, 0.990)

Summary:
SG = Cmcm (63)
M_tot = 0.00 μB per cell
E_tot = -4.707 eV per atom

4.
BeCdCuB | PBE-GGA | optimized geometry

Cell: 4.100 4.100 4.100 Å, 60.00 60.00 60.00°
Sites, in units of the cell vectors:
B (0.000, 0.000, 0.000)
Be (0.750, 0.750, 0.750)
Cd (0.500, 0.500, 0.500)
Cu (0.250, 0.250, 0.250)

Summary:
SG = F-43m (216)
E_tot = -2.869 eV per atom
Excess energy over the best structure of this formula in the dataset = 6.9 kJ per mole of atoms

5.
CsAsPt | PBE-GGA | optimized geometry

Cell: 5.214 5.214 5.214 Å, 60.00 60.00 60.00°
Sites, in units of the cell vectors:
As (0.250, 0.250, 0.250)
Cs (0.000, 0.000, 0.000)
Pt (0.750, 0.750, 0.750)

Summary:
SG = F-43m (216)
M_tot = 1.24 μB per cell
E_tot = -2.439 eV per atom
Excess energy over the best structure of this formula in the dataset = 188.7 kJ per mole of atoms

6.
Cs2Zn | PBE-GGA | optimized geometry

Cell: 9.175 9.175 9.175 Å, 60.00 60.00 60.00°
Sites, in units of the cell vectors:
Cs (0.625, 0.625, 0.125)
Cs (0.625, 0.125, 0.625)
Cs (0.125, 0.625, 0.625)
Cs (0.625, 0.625, 0.625)
Zn (0.000, 0.000, 0.000)
Zn (0.250, 0.250, 0.250)

Summary:
SG = Fd-3m (227)
E_tot = -0.547 eV per atom
Excess energy over the best structure of this formula in the dataset = 0.0 kJ per mole of atoms

7.
TlCuSe2 | PBE-GGA | optimized geometry

Cell: 7.307 7.307 5.938 Å, 113.86 113.86 47.95°
Sites, in units of the cell vectors:
Cu (0.249, 0.000, 0.372)
Cu (0.000, 0.751, 0.628)
Se (0.920, 0.080, 0.000)
Se (0.626, 0.874, 0.299)
Se (0.329, 0.671, 0.500)
Se (0.126, 0.374, 0.701)
Tl (0.499, 0.249, 0.125)
Tl (0.751, 0.501, 0.875)

Summary:
SG = C2 (5)
E_tot = -3.504 eV per atom

8.
RbGaRe | PBE-GGA | optimized geometry

Cell: 5.228 5.228 5.228 Å, 60.00 60.00 60.00°
Sites, in units of the cell vectors:
Ga (0.250, 0.250, 0.250)
Rb (0.000, 0.000, 0.000)
Re (0.750, 0.750, 0.750)

Summary:
SG = F-43m (216)
M_tot = 3.24 μB per cell
E_tot = -3.062 eV per atom
Excess energy over the best structure of this formula in the dataset = 58.2 kJ per mole of atoms

9.
Y2Zr4Sn3C3 | PBE-GGA | optimized geometry

Cell: 6.006 6.006 15.351 Å, 101.17 90.12 119.98°
Sites, in units of the cell vectors:
C (0.500, 0.000, 0.000)
C (0.151, 0.326, 0.000)
C (0.849, 0.674, 0.000)
C (0.326, 0.651, 0.500)
C (0.000, 0.000, 0.500)
C (0.674, 0.349, 0.500)
Sn (0.207, 0.832, 0.249)
Sn (0.958, 0.208, 0.250)
Sn (0.583, 0.458, 0.251)
Sn (0.417, 0.542, 0.749)
Sn (0.042, 0.792, 0.750)
Sn (0.793, 0.168, 0.751)
Y (0.532, 0.725, 0.095)
Y (0.630, 0.937, 0.405)
Y (0.370, 0.063, 0.595)
Y (0.468, 0.275, 0.905)
Zr (0.199, 0.058, 0.080)
Zr (0.855, 0.386, 0.080)
Zr (0.306, 0.275, 0.420)
Zr (0.978, 0.619, 0.420)
Zr (0.022, 0.381, 0.580)
Zr (0.694, 0.725, 0.580)
Zr (0.145, 0.614, 0.920)
Zr (0.801, 0.942, 0.920)

Summary:
SG = C2/c (15)
M_tot = 0.02 μB per cell
E_tot = -7.957 eV per atom

10.
LiZrNiB | PBE-GGA | optimized geometry

Cell: 4.057 4.057 4.057 Å, 60.00 60.00 60.00°
Sites, in units of the cell vectors:
B (0.250, 0.250, 0.250)
Li (0.750, 0.750, 0.750)
Ni (0.500, 0.500, 0.500)
Zr (0.000, 0.000, 0.000)

Summary:
SG = F-43m (216)
M_tot = 0.01 μB per cell
E_tot = -5.765 eV per atom
Excess energy over the best structure of this formula in the dataset = 0.0 kJ per mole of atoms

11.
SmInNi | PBE-GGA | optimized geometry

Cell: 7.839 7.839 3.747 Å, 90.00 90.00 120.00°
Sites, in units of the cell vectors:
In (0.333, 0.000, 0.000)
In (0.000, 0.333, 0.000)
In (0.667, 0.667, 0.000)
Ni (0.000, 0.000, 0.000)
Ni (0.667, 0.333, 0.000)
Ni (0.333, 0.667, 0.000)
Sm (0.666, 0.000, 0.500)
Sm (0.334, 0.334, 0.500)
Sm (0.000, 0.666, 0.500)

Summary:
SG = P-6m2 (187)
M_tot = 0.01 μB per cell
E_tot = -4.695 eV per atom

12.
Y2NiC4 | PBE-GGA | optimized geometry

Cell: 6.620 6.620 6.620 Å, 111.35 85.94 134.98°
Sites, in units of the cell vectors:
C (0.916, 0.173, 0.089)
C (0.874, 0.345, 0.218)
C (0.584, 0.673, 0.257)
C (0.626, 0.845, 0.471)
C (0.374, 0.155, 0.529)
C (0.416, 0.327, 0.743)
C (0.126, 0.655, 0.782)
C (0.084, 0.827, 0.911)
Ni (0.250, 0.250, 0.000)
Ni (0.750, 0.750, 0.000)
Y (0.356, 0.836, 0.192)
Y (0.144, 0.336, 0.480)
Y (0.856, 0.664, 0.520)
Y (0.644, 0.164, 0.808)

Summary:
SG = Ibam (72)
M_tot = 0.00 μB per cell
E_tot = -8.160 eV per atom